# 1
EuLuSnAu: relaxed, PBE.

Calculated values
Space-group type: F-43m (216)
Energy relative to the elements, eV/atom: -0.71
Mass density, g/cm³: 10.3

```
EuLuSnAu
1.0
-5.229 0.144 0.653
-2.104 -1.168 4.691
-2.187 3.800 2.928
Eu Lu Sn Au
1 1 1 1
Cartesian
-7.140 2.082 6.204
-2.380 0.694 2.068
0.000 0.000 0.000
-4.760 1.388 4.136
```

# 2
EuLuTlAu: relaxed, PBE.

Calculated values
Space-group type: F-43m (216)
Energy relative to the elements, eV/atom: -0.52
Mass density, g/cm³: 11.6

```
EuLuTlAu
1.0
-1.184 -5.148 0.143
1.468 -2.935 4.142
-3.635 -1.781 3.397
Tl Eu Lu Au
1 1 1 1
Cartesian
-0.838 -2.466 1.921
-1.676 -4.932 3.841
0.000 0.000 0.000
-2.514 -7.398 5.762
```

# 3
EuLuZnAu: relaxed, PBE.

Calculated values
Space-group type: F-43m (216)
Energy relative to the elements, eV/atom: -0.52
Mass density, g/cm³: 10.3

```
EuLuZnAu
1.0
-1.039 -3.318 -3.759
3.709 -1.484 -3.203
1.820 -4.781 0.229
Lu Au Eu Zn
1 1 1 1
Cartesian
0.000 0.000 0.000
3.367 -7.187 -5.050
2.245 -4.792 -3.367
1.122 -2.396 -1.683
```